No. 1
First-principles (PBE) data for a relaxed UZn6Cu6 crystal, as listed in the Alexandria database.

a b c (Å): 4.9134 8.7107 8.8631
angles (deg): 90.00 90.00 90.00
Closest atoms and distances in Å follow each position.
Space group Immm (No. 71)
Symmetry-distinct sites (fractional):
U: 0.0000 0.0000 0.0000  8 Zn 3.02-3.11, 12 Cu 3.12-3.34
Zn: 0.0000 0.0000 0.3512  3 Zn 2.64-2.76, 6 Cu 2.66-2.77
Zn: 0.0000 0.3469 0.0000  3 Zn 2.67-2.91, 6 Cu 2.67-2.69
Zn: 0.0000 0.5000 0.2912  6 Cu 2.53-2.67, 2 Zn 2.76
Cu: 0.0000 0.2798 0.5000  4 Cu 2.55, 6 Zn 2.67-2.77
Cu: 0.2500 0.2500 0.2500  4 Cu 2.46-2.55, 6 Zn 2.53-2.67


No. 2
First-principles (PBE) data for a relaxed BaSm2Tl2Cd2 crystal, as listed in the Alexandria database.

a b c (Å): 5.1533 5.1533 29.2872
angles (deg): 90.00 90.00 120.00
Closest atoms and distances in Å follow each position.
Space group R-3m (No. 166, hexagonal axes)
Symmetry-distinct sites (fractional):
Ba: 0.0000 0.0000 0.0000  6 Tl 3.72, 2 Sm 4.02
Sm: 0.0000 0.0000 0.1372  3 Cd 3.09, 3 Sm 3.44
Tl: 0.0000 0.0000 0.2569  3 Cd 3.12, 3 Sm 3.47
Cd: 0.0000 0.0000 0.4415  3 Sm 3.09, 3 Tl 3.12, 1 Cd 3.43


no.,uncorrected energy (eV/cell)
1,-87.5
2,-59.2